Computed, not measured: a geometry-optimized CrRe3O structure at the GGA+U level of DFT.

```
CrRe3O
1.0
-2.163 1.563 3.543
-1.182 -4.131 1.101
3.687 -0.407 2.431
Re O Cr
3 1 1
Cartesian
-0.591 -2.066 0.550
1.844 -0.203 1.216
-1.082 0.781 1.771
0.171 -1.488 3.537
0.000 0.000 0.000
```

Summary:
Space-group type: Pm-3m (221)
Uncorrected energy, eV per atom: -7.150